Entry from Alexandria: a relaxed PrSm3Ni crystal (GGA-PBE).

Properties
**Symmetry**: Cm
**Formation energy from the elements**: -0.120 eV per atom
**Total moment**: 0.0 μB/f.u.

a b c (Å): 3.7581 6.3379 13.0716
angles (deg): 84.67 81.74 72.75
Fractional positions:
Pr: 0.0970 0.5198 0.2862
Pr: 0.2212 0.5535 0.0041
Sm: 0.4344 0.9851 0.1461
Sm: 0.7760 0.6870 0.7610
Sm: 0.1138 0.1467 0.6258
Sm: 0.9913 0.1173 0.9002
Sm: 0.7795 0.0524 0.3886
Sm: 0.4321 0.6125 0.5233
Ni: 0.7558 0.3453 0.1431
Ni: 0.4598 0.3173 0.7631